(1)
Below is a relaxed PuSn2As crystal, with properties calculated at the PBE-GGA level.

Unit cell a=3.6330 b=3.6330 c=30.3968 alpha=90.00 beta=90.00 gamma=120.00
With the nearest neighbours (Å) after each atom.
Element x y z (fractional)
Pu: 0.0000 0.0000 0.0000  2 Sn 3.16
Pu: 0.3333 0.6667 0.6667  2 Sn 3.16
Pu: 0.6667 0.3333 0.3333  2 Sn 3.16
Sn: 0.0000 0.0000 0.1041  3 As 2.83, 1 Pu 3.16
Sn: 0.0000 0.0000 0.8959  3 As 2.83, 1 Pu 3.16
Sn: 0.3333 0.6667 0.5626  3 As 2.83, 1 Pu 3.16
Sn: 0.3333 0.6667 0.7708  3 As 2.83, 1 Pu 3.16
Sn: 0.6667 0.3333 0.2292  3 As 2.83, 1 Pu 3.16
Sn: 0.6667 0.3333 0.4374  3 As 2.83, 1 Pu 3.16
As: 0.0000 0.0000 0.5000  6 Sn 2.83
As: 0.3333 0.6667 0.1667  6 Sn 2.83
As: 0.6667 0.3333 0.8333  6 Sn 2.83

Space group: R-3m
DOS at the Fermi energy (states/eV per cell): 29.8
Excess energy over the best structure of this formula in the dataset (kJ/mol of formula units): 241
Total magnetization (μB/atom): 1.64
Formation energy from the elements (eV/f.u.): 0.925

=====

(2)
Below is a relaxed Pr3SnTe2 crystal, with properties calculated at the PBE-GGA level.

Unit cell a=4.5699 b=6.4281 c=13.6417 alpha=90.00 beta=90.00 gamma=90.00
With the nearest neighbours (Å) after each atom.
Element x y z (fractional)
Pr: 0.0000 0.0000 0.0000  2 Sn 3.21, 4 Te 3.24
Pr: 0.0000 0.0000 0.3391  2 Sn 3.17, 4 Te 3.22-3.27
Pr: 0.0000 0.0000 0.6609  2 Sn 3.17, 4 Te 3.22-3.27
Pr: 0.5000 0.5000 0.1609  2 Sn 3.17, 4 Te 3.22-3.27
Pr: 0.5000 0.5000 0.5000  2 Sn 3.21, 4 Te 3.24
Pr: 0.5000 0.5000 0.8391  2 Sn 3.17, 4 Te 3.22-3.27
Sn: 0.0000 0.5000 0.0000  6 Pr 3.17-3.21
Sn: 0.5000 0.0000 0.5000  6 Pr 3.17-3.21
Te: 0.0000 0.5000 0.3320  6 Pr 3.22-3.27
Te: 0.0000 0.5000 0.6680  6 Pr 3.22-3.27
Te: 0.5000 0.0000 0.1680  6 Pr 3.22-3.27
Te: 0.5000 0.0000 0.8320  6 Pr 3.22-3.27

Space group: Immm
DOS at the Fermi energy (states/eV per cell): 4.7
Excess energy over the best structure of this formula in the dataset (kJ/mol of formula units): 2
Total magnetization (μB/atom): 0.00
ΔE_f (raw) (eV/atom): -1.271